(1)
The following is a DFT calculation (PBE-GGA) of an optimized crystal structure of RbReW2.

**Polymorph energy (0 for the lowest one)**: 0.000 eV per atom
**Space-group type**: Fm-3m (225)
**ΔH_f (0 K)**: 1.93 eV/atom

Cell lengths 6.5928, 6.5928, 6.5928 Å; angles 90.00, 90.00, 90.00 degrees
Fractional coordinates of all 16 atoms:
Rb 0.0000 0.0000 0.0000
Rb 0.0000 0.5000 0.5000
Rb 0.5000 0.0000 0.5000
Rb 0.5000 0.5000 0.0000
Re 0.0000 0.0000 0.5000
Re 0.0000 0.5000 0.0000
Re 0.5000 0.0000 0.0000
Re 0.5000 0.5000 0.5000
W 0.2500 0.2500 0.2500
W 0.2500 0.2500 0.7500
W 0.2500 0.7500 0.2500
W 0.2500 0.7500 0.7500
W 0.7500 0.2500 0.2500
W 0.7500 0.2500 0.7500
W 0.7500 0.7500 0.2500
W 0.7500 0.7500 0.7500

***

(2)
The following is a DFT calculation (PBE-GGA) of an optimized crystal structure of HfTi3H.

**Polymorph energy (0 for the lowest one)**: 0.000 eV per atom
**Space-group type**: P2_1 (4)

Cell lengths 5.4974, 4.6564, 5.9372 Å; angles 90.00, 95.21, 90.00 degrees
Fractional coordinates of all 10 atoms:
Hf 0.1292 0.0000 0.2171
Hf 0.8708 0.5000 0.7829
Ti 0.1775 0.0036 0.7230
Ti 0.3414 0.5063 0.5150
Ti 0.3554 0.4933 0.0026
Ti 0.6446 0.9933 0.9974
Ti 0.6586 0.0063 0.4850
Ti 0.8225 0.5036 0.2770
H 0.4960 0.2442 0.7487
H 0.5040 0.7442 0.2513

***

(3)
The following is a DFT calculation (PBE-GGA) of an optimized crystal structure of Mg4InHg7.

**Polymorph energy (0 for the lowest one)**: 0.042 eV per atom
**Space-group type**: C2/m (12)
**ΔH_f (0 K)**: -0.07 eV/atom

Cell lengths 6.8127, 6.8127, 10.3430 Å; angles 120.15, 120.15, 47.56 degrees
Fractional coordinates of all 12 atoms:
Mg 0.0730 0.0730 0.2616
Mg 0.2239 0.2239 0.8136
Mg 0.7761 0.7761 0.1864
Mg 0.9270 0.9270 0.7384
In 0.5000 0.5000 0.5000
Hg 0.0000 0.0000 0.5000
Hg 0.1703 0.1703 0.0672
Hg 0.2939 0.2939 0.5822
Hg 0.4497 0.4497 0.1262
Hg 0.5503 0.5503 0.8738
Hg 0.7061 0.7061 0.4178
Hg 0.8297 0.8297 0.9328

***

(4)
The following is a DFT calculation (PBE-GGA) of an optimized crystal structure of LuGa4Ge.

**Space-group type**: F-43m (216)
**ΔH_f (0 K)**: -0.15 eV/atom

Cell lengths 5.4448, 5.4448, 5.4448 Å; angles 60.00, 60.00, 60.00 degrees
Fractional coordinates of all 6 atoms:
Lu 0.0000 0.0000 0.0000
Ga 0.1255 0.6248 0.6248
Ga 0.6248 0.1255 0.6248
Ga 0.6248 0.6248 0.1255
Ga 0.6248 0.6248 0.6248
Ge 0.2500 0.2500 0.2500

***

(5)
The following is a DFT calculation (PBE-GGA) of an optimized crystal structure of TbPm2Nd6Er.

**Space-group type**: C2/c (15)
**ΔH_f (0 K)**: 0.11 eV/atom

Cell lengths 8.9928, 8.9928, 9.7950 Å; angles 94.17, 94.17, 118.09 degrees
Fractional coordinates of all 20 atoms:
Tb 0.0222 0.9778 0.7500
Tb 0.9778 0.0222 0.2500
Pm 0.1975 0.2978 0.5433
Pm 0.2978 0.1975 0.0433
Pm 0.7022 0.8025 0.9567
Pm 0.8025 0.7022 0.4567
Nd 0.0133 0.5707 0.6895
Nd 0.1213 0.7561 0.0545
Nd 0.2439 0.8787 0.4455
Nd 0.2917 0.5035 0.8815
Nd 0.4293 0.9867 0.8105
Nd 0.4965 0.7083 0.6185
Nd 0.5035 0.2917 0.3815
Nd 0.5707 0.0133 0.1895
Nd 0.7083 0.4965 0.1185
Nd 0.7561 0.1213 0.5545
Nd 0.8787 0.2439 0.9455
Nd 0.9867 0.4293 0.3105
Er 0.4095 0.5905 0.2500
Er 0.5905 0.4095 0.7500

***

(6)
The following is a DFT calculation (PBE-GGA) of an optimized crystal structure of Te2W.

**Raw formation energy**: 0.818 eV/atom
**Space-group type**: P4/mmm (123)

Cell lengths 4.7381, 4.7381, 3.3269 Å; angles 90.00, 90.00, 90.00 degrees
Fractional coordinates of all 3 atoms:
Te 0.0000 0.5000 0.0000
Te 0.5000 0.0000 0.0000
W 0.0000 0.0000 0.5000

***

(7)
The following is a DFT calculation (PBE-GGA) of an optimized crystal structure of ZnCrFeMo.

**Space-group type**: F-43m (216)
**ΔH_f (0 K)**: 0.17 eV/atom

Cell lengths 5.9338, 5.9338, 5.9338 Å; angles 90.00, 90.00, 90.00 degrees
Fractional coordinates of all 16 atoms:
Zn 0.0000 0.0000 0.0000
Zn 0.0000 0.5000 0.5000
Zn 0.5000 0.0000 0.5000
Zn 0.5000 0.5000 0.0000
Cr 0.2500 0.2500 0.2500
Cr 0.2500 0.7500 0.7500
Cr 0.7500 0.2500 0.7500
Cr 0.7500 0.7500 0.2500
Fe 0.2500 0.2500 0.7500
Fe 0.2500 0.7500 0.2500
Fe 0.7500 0.2500 0.2500
Fe 0.7500 0.7500 0.7500
Mo 0.0000 0.0000 0.5000
Mo 0.0000 0.5000 0.0000
Mo 0.5000 0.0000 0.0000
Mo 0.5000 0.5000 0.5000

***

(8)
The following is a DFT calculation (PBE-GGA) of an optimized crystal structure of Tm2ZrCd6.

**Space-group type**: P6/mmm (191)
**ΔH_f (0 K)**: -0.21 eV/atom

Cell lengths 8.5256, 8.5256, 3.2912 Å; angles 90.00, 90.00, 120.00 degrees
Fractional coordinates of all 9 atoms:
Tm 0.3333 0.6667 0.0000
Tm 0.6667 0.3333 0.0000
Zr 0.0000 0.0000 0.0000
Cd 0.0000 0.3305 0.5000
Cd 0.0000 0.6695 0.5000
Cd 0.3305 0.0000 0.5000
Cd 0.3305 0.3305 0.5000
Cd 0.6695 0.0000 0.5000
Cd 0.6695 0.6695 0.5000

***

(9)
The following is a DFT calculation (PBE-GGA) of an optimized crystal structure of HgPtSe2.

**Polymorph energy (0 for the lowest one)**: 0.210 eV per atom
**Raw formation energy**: -0.083 eV/atom
**Space-group type**: I-42d (122)

Cell lengths 6.1288, 6.1288, 11.6950 Å; angles 90.00, 90.00, 90.00 degrees
Fractional coordinates of all 16 atoms:
Hg 0.0000 0.0000 0.0000
Hg 0.0000 0.5000 0.2500
Hg 0.5000 0.0000 0.7500
Hg 0.5000 0.5000 0.5000
Pt 0.0000 0.0000 0.5000
Pt 0.0000 0.5000 0.7500
Pt 0.5000 0.0000 0.2500
Pt 0.5000 0.5000 0.0000
Se 0.1989 0.2500 0.6250
Se 0.2500 0.6989 0.8750
Se 0.2500 0.8011 0.3750
Se 0.3011 0.2500 0.1250
Se 0.6989 0.7500 0.1250
Se 0.7500 0.1989 0.3750
Se 0.7500 0.3011 0.8750
Se 0.8011 0.7500 0.6250

***

(10)
The following is a DFT calculation (PBE-GGA) of an optimized crystal structure of Tl2SiW.

**Polymorph energy (0 for the lowest one)**: 0.223 eV per atom
**Raw formation energy**: 0.683 eV/atom
**Space-group type**: Imm2 (44)

Cell lengths 2.8936, 4.9936, 12.8256 Å; angles 90.00, 90.00, 90.00 degrees
Fractional coordinates of all 8 atoms:
Tl 0.0000 0.0000 0.0000
Tl 0.0000 0.5000 0.1977
Tl 0.5000 0.0000 0.6977
Tl 0.5000 0.5000 0.5000
Si 0.0000 0.0000 0.3844
Si 0.5000 0.5000 0.8844
W 0.0000 0.5000 0.7206
W 0.5000 0.0000 0.2206

***

(11)
The following is a DFT calculation (PBE-GGA) of an optimized crystal structure of Pr2ZnCo.

**Polymorph energy (0 for the lowest one)**: 0.051 eV per atom
**Space-group type**: P4/mmm (123)
**ΔH_f (0 K)**: -0.09 eV/atom

Cell lengths 3.5715, 3.5715, 7.4085 Å; angles 90.00, 90.00, 90.00 degrees
Fractional coordinates of all 4 atoms:
Pr 0.0000 0.0000 0.2317
Pr 0.0000 0.0000 0.7683
Zn 0.5000 0.5000 0.5000
Co 0.5000 0.5000 0.0000

***

(12)
The following is a DFT calculation (PBE-GGA) of an optimized crystal structure of CaY3Rh.

**Polymorph energy (0 for the lowest one)**: 1.650 eV per atom
**Space-group type**: Pm-3m (221)
**ΔH_f (0 K)**: 1.36 eV/atom

Cell lengths 5.2753, 5.2753, 5.2753 Å; angles 90.00, 90.00, 90.00 degrees
Fractional coordinates of all 5 atoms:
Ca 0.0000 0.0000 0.0000
Y 0.0000 0.0000 0.5000
Y 0.0000 0.5000 0.0000
Y 0.5000 0.0000 0.0000
Rh 0.5000 0.5000 0.5000

***

(13)
The following is a DFT calculation (PBE-GGA) of an optimized crystal structure of NaLaZr3.

**Polymorph energy (0 for the lowest one)**: 0.067 eV per atom
**Space-group type**: Pm-3m (221)
**ΔH_f (0 K)**: 1.22 eV/atom

Cell lengths 5.2854, 5.2854, 5.2854 Å; angles 90.00, 90.00, 90.00 degrees
Fractional coordinates of all 5 atoms:
Na 0.0000 0.0000 0.0000
La 0.5000 0.5000 0.5000
Zr 0.0000 0.5000 0.5000
Zr 0.5000 0.0000 0.5000
Zr 0.5000 0.5000 0.0000

***

(14)
The following is a DFT calculation (PBE-GGA) of an optimized crystal structure of In2BSb.

**Polymorph energy (0 for the lowest one)**: 0.000 eV per atom
**Raw formation energy**: 0.549 eV/atom
**Space-group type**: I-42d (122)

Cell lengths 6.1607, 6.1607, 11.0765 Å; angles 90.00, 90.00, 90.00 degrees
Fractional coordinates of all 16 atoms:
In 0.1608 0.2500 0.1250
In 0.2500 0.6608 0.3750
In 0.2500 0.8392 0.8750
In 0.3392 0.2500 0.6250
In 0.6608 0.7500 0.6250
In 0.7500 0.1608 0.8750
In 0.7500 0.3392 0.3750
In 0.8392 0.7500 0.1250
B 0.0000 0.0000 0.0000
B 0.0000 0.5000 0.2500
B 0.5000 0.0000 0.7500
B 0.5000 0.5000 0.5000
Sb 0.0000 0.0000 0.5000
Sb 0.0000 0.5000 0.7500
Sb 0.5000 0.0000 0.2500
Sb 0.5000 0.5000 0.0000

***

(15)
The following is a DFT calculation (PBE-GGA) of an optimized crystal structure of Y2Ni15Ge2.

**Space-group type**: R-3m (166)
**ΔH_f (0 K)**: -0.23 eV/atom

Cell lengths 6.3208, 6.3208, 6.3208 Å; angles 82.71, 82.71, 82.71 degrees
Fractional coordinates of all 19 atoms:
Y 0.1501 0.1501 0.1501
Y 0.8499 0.8499 0.8499
Ni 0.0000 0.5000 0.5000
Ni 0.1564 0.1564 0.6545
Ni 0.1564 0.6545 0.1564
Ni 0.1987 0.5000 0.8013
Ni 0.1987 0.8013 0.5000
Ni 0.3455 0.8436 0.8436
Ni 0.5000 0.0000 0.5000
Ni 0.5000 0.1987 0.8013
Ni 0.5000 0.5000 0.0000
Ni 0.5000 0.8013 0.1987
Ni 0.6545 0.1564 0.1564
Ni 0.8013 0.1987 0.5000
Ni 0.8013 0.5000 0.1987
Ni 0.8436 0.3455 0.8436
Ni 0.8436 0.8436 0.3455
Ge 0.3949 0.3949 0.3949
Ge 0.6051 0.6051 0.6051

***

(16)
The following is a DFT calculation (PBE-GGA) of an optimized crystal structure of Ti3Re3W.

**Space-group type**: C2/m (12)
**ΔH_f (0 K)**: 0.16 eV/atom

Cell lengths 6.0088, 6.0088, 6.4262 Å; angles 90.97, 90.97, 96.89 degrees
Fractional coordinates of all 14 atoms:
Ti 0.0079 0.0079 0.2531
Ti 0.0313 0.4850 0.7502
Ti 0.4850 0.0313 0.7502
Ti 0.5150 0.9687 0.2498
Ti 0.9687 0.5150 0.2498
Ti 0.9921 0.9921 0.7469
Re 0.2325 0.7675 0.0000
Re 0.2424 0.7576 0.5000
Re 0.3171 0.3171 0.4635
Re 0.6829 0.6829 0.5365
Re 0.7576 0.2424 0.5000
Re 0.7675 0.2325 0.0000
W 0.3293 0.3293 0.0738
W 0.6707 0.6707 0.9262